This record from Alexandria via LeMat-Bulk describes crystalline Tc2MoAs at its relaxed geometry. The functional is GGA-PBE.

abc: 4.0816 2.9359 5.8605
angles: 59.79 90.00 90.00
Last column: nearest neighbours and their distance in Å.
Positions (direct):
Mo (0.5000, 0.7500, 0.7500)  2 As 2.53, 8 Tc 2.82
Tc (0.0000, 0.5039, 0.4973)  2 Tc 2.51-2.56, 2 As 2.81
Tc (0.0000, 0.9961, 0.0027)  2 Tc 2.51-2.56, 2 As 2.81
As (0.5000, 0.2500, 0.2500)  2 Mo 2.53, 8 Tc 2.81

- Uncorrected energy: -35.83 eV per cell
- E_form: 0.10 eV per atom
- Magnetic moment: 0.000 μB per cell


This record from Alexandria via LeMat-Bulk describes crystalline Mg8AlTl2 at its relaxed geometry. The functional is GGA-PBE.

abc: 5.1882 7.6587 7.9093
angles: 113.50 101.64 105.11
Last column: nearest neighbours and their distance in Å.
Positions (direct):
Tl (0.3039, 0.3039, 0.6078)  8 Mg 2.90-3.06
Tl (0.6961, 0.6961, 0.3922)  8 Mg 2.90-3.06
Mg (0.7091, 0.2091, 0.4181)  1 Al 2.85, 2 Tl 2.90
Mg (0.1911, 0.3147, 0.2181)  2 Tl 2.94-3.06, 4 Mg 2.97-3.29
Mg (0.3006, 0.6114, 0.0000)  1 Al 2.88, 4 Mg 3.01-3.14, 2 Tl 3.06
Mg (0.9730, 0.0966, 0.7819)  2 Tl 2.94-3.06, 4 Mg 2.97-3.29
Mg (0.8089, 0.6853, 0.7819)  2 Tl 2.94-3.06, 4 Mg 2.97-3.29
Mg (0.0270, 0.9034, 0.2181)  2 Tl 2.94-3.06, 4 Mg 2.97-3.29
Mg (0.2909, 0.7909, 0.5819)  1 Al 2.85, 2 Tl 2.90
Mg (0.6994, 0.3886, 0.0000)  1 Al 2.88, 4 Mg 3.01-3.14, 2 Tl 3.06
Al (0.5000, 0.0000, 0.0000)  4 Mg 2.85-2.88

- Uncorrected energy: -20.67 eV per cell
- Energy relative to the lowest polymorph listed for this composition: 59 meV per atom
- E_form: 0.05 eV per atom
- Magnetic moment: 0.000 μB per cell